Entry from the Alexandria database: crystalline Nd5SnP6 at its relaxed geometry (PBE).

```
Nd5SnP6
1.0
7.115 0.174 1.081
1.747 6.042 3.522
0.119 0.066 7.205
P Nd Sn
6 5 1
Cartesian
5.535 0.655 3.506
2.824 3.592 4.724
2.225 1.552 1.151
6.638 4.664 3.452
6.157 2.689 7.084
3.446 5.627 8.303
3.928 1.139 5.929
0.621 2.034 3.579
4.431 3.108 2.302
1.244 4.074 7.148
5.053 5.142 5.880
0.000 0.000 0.000
```

## Properties
DOS at the Fermi energy   8.1 states/eV per cell
E   -6.20 eV/atom
Space-group type   C2/m (12)

***

Entry from the Alexandria database: crystalline Nd2SnP at its relaxed geometry (PBE).

```
Nd2SnP
1.0
-1.773 2.788 2.735
-1.955 -3.337 2.135
10.422 0.690 6.052
Nd Sn P
4 2 2
Cartesian
1.295 0.049 5.834
5.399 0.092 5.088
5.788 -0.416 9.221
0.906 0.557 1.701
8.170 -0.195 7.177
-1.476 0.336 3.745
3.140 0.326 3.385
3.554 -0.185 7.537
```

## Properties
DOS at the Fermi energy   3.6 states/eV per cell
Energy above the most stable polymorph in this dataset   0.0 meV per atom
Space-group type   Cmcm (63)

***

Entry from the Alexandria database: crystalline Nd6SnP4 at its relaxed geometry (PBE).

```
Nd6SnP4
1.0
-2.683 2.544 -1.953
1.319 -5.487 -4.484
-16.364 -10.804 8.407
Nd Sn P
12 2 8
Cartesian
-1.341 1.272 -0.976
-9.523 -4.130 3.227
-5.603 -4.046 2.428
-12.125 -9.700 -0.457
-15.146 -11.695 1.095
-2.582 -2.051 0.875
-8.205 -5.552 -0.439
-9.524 -8.194 2.409
-15.043 -11.838 5.245
-2.685 -1.908 -3.274
-4.106 -5.534 -1.569
-13.622 -8.212 3.539
-5.440 -2.800 -0.651
-12.288 -10.946 2.621
-10.214 -7.628 -0.383
-2.057 -4.790 -3.416
-7.514 -6.117 2.354
-15.671 -8.955 5.386
-17.048 -12.140 3.128
-0.680 -1.606 -1.157
-11.566 -6.245 3.277
-6.162 -7.501 -1.307
```

## Properties
DOS at the Fermi energy   7.7 states/eV per cell
E   -6.24 eV/atom
Space-group type   Cmcm (63)

***

Entry from the Alexandria database: crystalline Nd6SnTe3P2 at its relaxed geometry (PBE).

```
Nd6SnTe3P2
1.0
4.344 0.000 0.000
0.000 8.922 0.206
-2.172 -2.686 9.283
Nd Sn Te P
6 1 3 2
Cartesian
0.000 6.146 6.362
2.172 4.095 3.374
2.172 0.090 3.127
0.000 2.184 0.255
2.172 4.052 9.234
0.000 2.141 6.114
2.172 0.000 0.000
2.172 4.461 0.103
2.172 -0.305 6.278
0.000 6.541 3.211
2.172 4.136 6.282
0.000 2.099 3.207
```

## Properties
E_form (uncorrected)   -1405 meV per atom
DOS at the Fermi energy   5.0 states/eV per cell
Space-group type   C2/m (12)

***

Entry from the Alexandria database: crystalline SrNd2P at its relaxed geometry (PBE).

```
SrNd2P
1.0
-2.331 -3.172 0.896
-0.614 -2.893 -2.747
7.647 -7.328 3.041
Sr Nd P
1 2 1
Cartesian
0.000 0.000 0.000
4.611 -5.461 1.754
0.091 -7.932 -0.564
2.351 -6.697 0.595
```

## Properties
DOS at the Fermi energy   5.9 states/eV per cell
E   -4.76 eV/atom
Space-group type   R-3m (166)

***

Entry from the Alexandria database: crystalline SrNdP at its relaxed geometry (PBE).

```
SrNdP
1.0
-2.439 3.100 1.335
-1.654 -3.723 -0.873
2.149 -4.118 13.493
P Sr Nd
2 2 2
Cartesian
-1.870 1.059 0.621
-0.511 -3.258 6.633
-1.033 -0.484 5.733
-0.512 -1.482 9.005
0.285 -4.844 11.772
-1.352 -1.706 1.491
```

## Properties
DOS at the Fermi energy   5.9 states/eV per cell
E   -4.61 eV/atom
Space-group type   Amm2 (38)

***

Entry from the Alexandria database: crystalline SrNdP at its relaxed geometry (PBE).

```
SrNdP
1.0
7.024 0.000 0.000
0.000 4.208 0.000
0.000 -2.104 3.644
Sr Nd P
1 1 1
Cartesian
4.090 2.104 1.215
0.743 0.000 0.000
2.191 0.000 2.430
```

## Properties
DOS at the Fermi energy   2.1 states/eV per cell
E   -4.80 eV/atom
Space-group type   P3m1 (156)

***

Entry from the Alexandria database: crystalline SrNd2ThP4 at its relaxed geometry (PBE).

```
SrNd2ThP4
1.0
4.212 0.000 0.000
0.000 7.284 -0.162
0.000 2.546 6.831
Sr Nd Th P
1 2 1 4
Cartesian
2.106 3.642 -0.081
0.000 2.546 6.831
2.106 1.273 3.415
0.000 4.915 3.335
0.000 7.378 4.906
4.212 2.451 1.763
2.106 6.119 1.645
2.106 3.711 5.024
```

## Properties
DOS at the Fermi energy   1.1 states/eV per cell
E   -6.46 eV/atom
Space-group type   P2/m (10)

***

Entry from the Alexandria database: crystalline Sr2NdThP4 at its relaxed geometry (PBE).

```
Sr2NdThP4
1.0
-1.314 -3.959 -0.856
3.115 0.412 -6.686
4.958 -2.699 4.868
Sr Nd Th P
2 1 1 4
Cartesian
1.822 -3.329 2.006
4.036 -1.144 -0.909
0.000 0.000 0.000
0.900 -1.773 -3.771
1.240 -2.494 -0.963
5.518 -3.752 -1.710
4.652 -1.981 2.017
3.421 -0.306 -3.835
```

## Properties
DOS at the Fermi energy   8.1 states/eV per cell
E   -5.91 eV/atom
Space-group type   P2/m (10)

***

Entry from the Alexandria database: crystalline Sr3Nd2UP6 at its relaxed geometry (PBE).

```
Sr3Nd2UP6
1.0
7.271 0.000 -0.003
-3.634 6.298 -0.003
-1.216 -2.105 6.980
Sr Nd U P
3 2 1 6
Cartesian
-2.383 4.171 3.487
4.804 0.021 3.487
1.211 2.096 3.487
0.007 4.195 -0.003
3.630 2.102 -0.003
0.000 0.000 0.000
3.550 2.244 5.445
2.518 4.359 1.514
-1.129 1.948 1.528
0.169 4.196 5.445
-0.097 -0.167 5.460
2.252 -0.004 1.528
```

## Properties
E   -6.08 eV/atom
Space-group type   C2/m (12)

***

Entry from the Alexandria database: crystalline Sr3NdU2P6 at its relaxed geometry (PBE).

```
Sr3NdU2P6
1.0
7.210 -0.001 -0.001
-3.604 6.245 -0.001
-1.204 -2.084 6.941
Sr Nd U P
3 1 2 6
Cartesian
-2.435 4.180 3.470
4.838 -0.020 3.470
1.201 2.080 3.470
0.000 0.000 0.000
-0.004 4.166 -0.001
3.610 2.079 -0.001
3.662 1.974 5.449
2.345 4.061 1.491
-1.260 2.186 1.491
-0.120 4.159 5.449
0.057 0.100 5.448
2.523 0.001 1.491
```

## Properties
DOS at the Fermi energy   13.0 states/eV per cell
E   -6.53 eV/atom
Space-group type   C2/m (12)

***

Entry from the Alexandria database: crystalline Tb5NdP6 at its relaxed geometry (PBE).

```
Tb5NdP6
1.0
-4.923 4.990 0.365
-0.186 2.636 6.505
4.027 5.499 1.676
Nd Tb P
1 5 6
Cartesian
0.000 0.000 0.000
0.199 6.607 2.382
1.282 2.714 2.726
-2.555 3.813 3.435
2.558 5.421 5.455
-1.281 6.518 6.164
-2.333 5.807 1.387
0.007 4.643 4.418
-1.290 1.929 1.743
-3.820 5.697 5.127
-1.090 8.482 4.128
1.251 7.318 7.159
```

## Properties
DOS at the Fermi energy   1.0 states/eV per cell
E   -6.63 eV/atom
Space-group type   C2/m (12)